Record 1
Entry from Alexandria via LeMat-Bulk: a geometry-optimized MgReS2 structure (GGA-PBE).

Unit cell a=3.1959 b=3.1959 c=25.3685 alpha=90.00 beta=90.00 gamma=120.00
Last column: nearest neighbours and their distance in Å.
Space group R-3m (No. 166, hexagonal axes)
Unique sites:
Mg  0.0000  0.0000  0.0000 [3 per cell]  2 S 2.65
Re  0.0000  0.0000  0.5000 [3 per cell]  6 S 2.43
S  0.0000  0.0000  0.1046 [6 per cell]  3 Re 2.43, 1 Mg 2.65

## Properties
E_form (uncorrected): -0.19 eV per atom
Electronic total energy: -5.76 eV/atom
DOS(E_F): 0.58 states/eV/atom


Record 2
Entry from Alexandria via LeMat-Bulk: a geometry-optimized Pm8Ni2Hg structure (GGA-PBE).

Unit cell a=8.5907 b=13.6710 c=5.5943 alpha=90.00 beta=104.99 gamma=90.00
Last column: nearest neighbours and their distance in Å.
Space group C2/m (No. 12)
Unique sites:
Pm  0.0000  0.2437  0.0000 [4 per cell]  2 Ni 2.89
Pm  0.1101  0.5000  0.8087 [4 per cell]  4 Pm 3.20-3.48, 1 Hg 3.24, 2 Ni 3.27
Pm  0.2086  0.1270  0.5741 [8 per cell]  2 Ni 2.84-2.90
Ni  0.0000  0.2974  0.5000 [4 per cell]  6 Pm 2.84-2.90
Hg  0.0000  0.0000  0.0000 [2 per cell]  4 Pm 3.24-3.33

## Properties
Calculated formation energy: -1.2 eV per formula unit
Electronic total energy: -4.65 eV/atom
DOS(E_F): 1.17 states/eV/atom